1.
This record from Alexandria via LeMat-Bulk describes a relaxed Ce5CdSnGe2 crystal. The functional is PBE.

The structure in extended XYZ format:
```
18
Lattice="7.8889 0.0000 0.0000 0.0000 7.8889 0.0000 -3.9445 -3.9445 7.8997" Properties=species:S:1:pos:R:3 pbc="T T T"
Ge 7.0125 4.8209 0.0000
Ge 0.8764 3.0680 0.0000
Ge 4.8209 0.8764 0.0000
Ge 3.0680 7.0125 0.0000
Ce 1.5928 5.5372 2.0230
Ce 2.3517 -1.5928 5.8766
Ce 1.5928 2.3517 5.8766
Ce -1.5928 -2.3517 5.8766
Ce 2.3517 1.5928 2.0230
Ce -2.3517 1.5928 5.8766
Ce 3.9445 3.9445 0.0000
Ce 5.5372 6.2961 2.0230
Ce 0.0000 0.0000 0.0000
Ce 6.2961 2.3517 2.0230
Cd 0.0000 3.9445 3.9498
Cd 3.9445 0.0000 3.9498
Sn 0.0000 0.0000 3.9498
Sn 3.9445 3.9445 3.9498
```

Summary:
Formation enthalpy at 0 K ... -0.435 eV per atom
Space group ... I4/mcm, No. 140
DOS(E_F) ... 24.02 states/eV/f.u.
Calculated density ... 7.3 g/cm³

=====

2.
This record from Alexandria via LeMat-Bulk describes a relaxed KTlCdPb crystal. The functional is PBE.

The structure in extended XYZ format:
```
4
Lattice="-0.9273 3.9450 -3.8694 -3.8854 -0.8129 -3.9545 -4.7585 2.9567 0.0980" Properties=species:S:1:pos:R:3 pbc="T T T"
Pb 0.0000 0.0000 0.0000
Tl -2.3928 1.5222 -1.9315
Cd -7.1785 4.5666 -5.7944
K -4.7857 3.0444 -3.8630
```

Summary:
Formation enthalpy at 0 K ... -0.052 eV per atom
Space group ... F-43m, No. 216
DOS(E_F) ... 1.55 states/eV/f.u.
Calculated density ... 7.5 g/cm³

=====

3.
This record from Alexandria via LeMat-Bulk describes a relaxed SrCuSe2 crystal. The functional is PBE.

The structure in extended XYZ format:
```
4
Lattice="-0.9812 -2.3781 8.3830 2.8800 -2.0637 8.0212 0.7220 1.1085 8.6685" Properties=species:S:1:pos:R:3 pbc="T T T"
Sr 0.0000 0.0000 0.0000
Cu 1.3104 -1.6666 12.5364
Se 2.3154 -2.9448 22.1512
Se 0.3054 -0.3884 2.9215
```

Summary:
Formation energy without anion corrections ... -0.190 eV per atom
Space group ... R-3m, No. 166
DOS(E_F) ... 4.86 states/eV/f.u.
Calculated density ... 4.6 g/cm³

=====

4.
This record from Alexandria via LeMat-Bulk describes a relaxed Sr2TcRu crystal. The functional is PBE.

The structure in extended XYZ format:
```
4
Lattice="-2.5893 4.9748 0.2226 -2.7394 -3.7807 3.1153 1.7965 0.8198 2.5747" Properties=species:S:1:pos:R:3 pbc="T T T"
Tc -0.3964 2.8973 1.3986
Ru -0.4715 -1.4804 2.8450
Sr 0.0000 0.0000 0.0000
Sr -2.6644 0.5971 1.6690
```

Summary:
Formation enthalpy at 0 K ... 1.034 eV per atom
Space group ... Cmmm, No. 65
DOS(E_F) ... 4.00 states/eV/f.u.
Calculated density ... 6.5 g/cm³

=====

5.
This record from Alexandria via LeMat-Bulk describes a relaxed Zn2Sn2Pt crystal. The functional is PBE.

The structure in extended XYZ format:
```
10
Lattice="-0.6695 -4.1572 5.6014 -0.9602 -5.5187 -4.2106 4.2930 -0.7268 -0.0263" Properties=species:S:1:pos:R:3 pbc="T T T"
Zn 1.7663 -2.6549 1.2537
Zn 1.4116 -4.6353 -1.9010
Zn 0.8970 -7.7479 0.1108
Zn 1.2516 -5.7674 3.2655
Sn -0.4355 -2.5505 -0.6001
Sn -0.5848 -3.5629 3.0141
Sn -1.1942 -7.1254 1.9909
Sn -1.0449 -6.1130 -1.6232
Pt -0.8149 -4.8379 0.6954
Pt 0.0000 0.0000 0.0000
```

Summary:
Formation enthalpy at 0 K ... 0.043 eV per atom
Space group ... P4/mbm, No. 127
DOS(E_F) ... 1.98 states/eV/f.u.
Calculated density ... 8.7 g/cm³

=====

6.
This record from Alexandria via LeMat-Bulk describes a relaxed OsAu2Cl crystal. The functional is PBE.

The structure in extended XYZ format:
```
4
Lattice="-0.5822 -3.3484 0.1981 2.6221 -0.5057 -0.8424 3.4971 -0.1462 7.8043" Properties=species:S:1:pos:R:3 pbc="T T T"
Au 5.9297 -0.6311 6.7573
Au 1.4042 -1.9005 1.2550
Cl 3.6074 -0.3886 4.0322
Os 3.7746 -2.0580 5.5585
```

Summary:
Formation energy without anion corrections ... 0.503 eV per atom
Space group ... Pm, No. 6
DOS(E_F) ... 2.68 states/eV/f.u.
Calculated density ... 12.7 g/cm³